Entry 1:
ZrPdNO | OQMD via LeMat-Bulk | PBE-GGA | relaxed; theoretical density = 8.0 Mg/m³; magnetic moment = 0.1 μB/f.u.; polymorph energy (0 for the lowest one) = 326 meV per atom
1.0
-3.400 0.454 0.711
-0.798 -2.686 -2.102
0.598 -4.825 5.937
Zr Pd N O
2 2 2 2
Cartesian
0.098 -5.356 3.887
-1.599 -0.585 1.355
-1.800 -3.529 2.273
0.299 -2.413 2.969
-1.268 -3.259 4.645
-0.233 -2.682 0.596
0.000 0.000 0.000
-2.099 -1.116 -0.696



Entry 2:
ZrPdNO | OQMD via LeMat-Bulk | PBE-GGA | relaxed; theoretical density = 7.0 Mg/m³; magnetic moment = 0.0 μB/f.u.; polymorph energy (0 for the lowest one) = 163 meV per atom
1.0
-3.667 -5.498 0.932
5.495 -3.963 -1.760
1.326 -0.132 4.438
N Pd O Zr
4 4 4 4
Cartesian
-0.752 -2.676 0.388
1.014 -1.089 2.327
1.611 -8.452 -0.489
3.376 -6.865 1.450
-0.755 -5.879 2.715
-0.725 -4.773 0.320
3.350 -4.768 1.522
3.381 -3.663 -0.874
1.727 -4.795 -0.412
0.899 -4.747 2.256
-1.165 -6.781 0.393
3.791 -2.761 1.451
2.652 -6.550 -0.744
2.028 -8.546 1.802
-0.028 -2.991 2.582
0.596 -0.996 0.036



Entry 3:
ZrPdNO | OQMD via LeMat-Bulk | PBE-GGA | relaxed; theoretical density = 5.9 Mg/m³; magnetic moment = 0.0 μB/f.u.; polymorph energy (0 for the lowest one) = 0 meV per atom
1.0
3.703 0.000 0.000
0.000 5.202 0.000
0.000 0.000 6.605
O Pd Zr N
2 2 2 2
Cartesian
1.851 1.909 0.728
1.851 4.510 5.877
0.000 2.852 3.025
0.000 0.251 3.580
1.851 2.553 5.442
1.851 5.154 1.163
0.000 4.413 1.795
0.000 1.812 4.810



Entry 4:
ZrPdNO | OQMD via LeMat-Bulk | PBE-GGA | relaxed; theoretical density = 6.3 Mg/m³; magnetic moment = 0.0 μB/f.u.; polymorph energy (0 for the lowest one) = 100 meV per atom
1.0
-3.288 -0.474 -0.912
1.350 -5.238 -2.142
-1.129 -2.484 5.364
O Zr N Pd
2 2 2 2
Cartesian
-1.378 -7.109 2.159
-1.262 -2.749 -0.528
0.366 -3.469 0.483
-0.765 -1.854 3.721
-0.193 -3.405 2.469
0.719 -5.502 0.270
-1.877 -4.536 2.622
-0.620 -5.874 -1.216



Entry 5:
ZrPdNO | OQMD via LeMat-Bulk | PBE-GGA | relaxed; theoretical density = 8.0 Mg/m³; magnetic moment = 0.0 μB/f.u.; polymorph energy (0 for the lowest one) = 173 meV per atom
1.0
-1.517 1.070 -4.254
-0.774 -4.496 -0.854
-4.085 0.407 1.560
O Pd Zr N
2 2 2 2
Cartesian
-1.332 -0.322 -3.404
-0.960 -3.104 -1.704
-0.735 -0.840 -1.215
-5.641 -2.178 -2.333
-3.374 -0.118 -2.624
-3.003 -2.901 -0.924
-2.759 -0.638 -0.442
-3.618 -2.380 -3.106



Entry 6:
PmPr2NO2 | OQMD via LeMat-Bulk | PBE-GGA | relaxed; theoretical density = 8.0 Mg/m³; magnetic moment = 0.0 μB/f.u.; polymorph energy (0 for the lowest one) = 0 meV per atom
1.0
-2.356 -0.576 -2.636
3.501 0.182 -0.736
0.714 -8.674 1.255
Pm Pr O N
1 2 2 1
Cartesian
-0.163 -3.251 -1.578
2.021 -5.813 -0.538
0.000 -0.005 0.001
1.669 -1.537 -1.157
0.195 -7.594 -0.950
0.352 -4.272 0.618



Entry 7:
PmPr2NO2 | OQMD via LeMat-Bulk | PBE-GGA | relaxed; theoretical density = 8.0 Mg/m³; magnetic moment = 0.0 μB/f.u.; polymorph energy (0 for the lowest one) = 6 meV per atom
1.0
3.585 0.000 0.000
-1.792 3.104 0.000
0.000 0.000 8.765
O Pr Pm N
2 2 1 1
Cartesian
0.000 2.070 1.311
1.792 1.035 7.454
1.792 1.035 2.953
0.000 2.070 5.812
0.000 0.000 0.000
0.000 0.000 4.383



Entry 8:
PmPrSmNO2 | OQMD via LeMat-Bulk | PBE-GGA | relaxed; theoretical density = 8.4 Mg/m³; magnetic moment = 0.0 μB/f.u.
1.0
3.550 0.000 0.000
-1.775 3.075 0.000
0.000 0.000 8.737
O Sm Pm N Pr
2 1 1 1 1
Cartesian
0.000 2.050 1.493
1.775 1.025 7.224
0.000 2.050 5.780
1.775 1.025 2.954
0.000 0.000 4.391
0.000 0.000 0.001



Entry 9:
PmReNO | OQMD via LeMat-Bulk | PBE-GGA | relaxed; theoretical density = 10.4 Mg/m³; magnetic moment = 0.0 μB/f.u.; polymorph energy (0 for the lowest one) = 410 meV per atom
1.0
-0.896 -1.490 3.529
-4.412 -2.217 -2.056
2.834 -4.532 -1.195
N Re O Pm
2 2 2 2
Cartesian
-1.625 -2.214 -1.348
-0.040 -4.395 -1.867
1.733 -5.065 -1.699
-1.913 -3.919 -2.141
-2.587 -5.032 -0.589
-1.080 -1.297 1.371
-0.223 -3.464 0.673
-0.973 -6.819 -0.934



Entry 10:
PmReNO | OQMD via LeMat-Bulk | PBE-GGA | relaxed; theoretical density = 10.1 Mg/m³; magnetic moment = 0.0 μB/f.u.; polymorph energy (0 for the lowest one) = 290 meV per atom
1.0
6.949 0.000 0.000
0.000 6.832 0.000
0.000 0.000 5.011
Re Pm O N
4 4 4 4
Cartesian
1.269 1.217 4.951
4.743 5.615 4.951
2.205 1.217 2.445
5.680 5.615 2.445
0.652 4.638 4.951
2.822 4.638 2.445
6.297 2.194 2.445
4.126 2.194 4.951
1.745 6.565 3.701
5.219 0.267 3.701
1.729 6.565 1.195
5.204 0.267 1.195
6.741 2.354 4.952
3.266 4.479 4.952
0.208 4.479 2.446
3.682 2.354 2.446



Entry 11:
PmReNO | OQMD via LeMat-Bulk | PBE-GGA | relaxed; theoretical density = 11.3 Mg/m³; magnetic moment = 0.0 μB/f.u.; polymorph energy (0 for the lowest one) = 176 meV per atom
1.0
3.850 0.000 0.000
0.000 5.095 0.000
0.000 0.000 5.412
N Re Pm O
2 2 2 2
Cartesian
0.000 2.555 3.631
0.000 0.008 1.781
1.925 0.008 1.819
1.925 2.555 3.592
0.000 0.008 4.292
0.000 2.556 1.119
1.925 1.270 0.000
1.925 3.818 0.000



Entry 12:
PmReNO | OQMD via LeMat-Bulk | PBE-GGA | relaxed; theoretical density = 10.2 Mg/m³; magnetic moment = 0.0 μB/f.u.; polymorph energy (0 for the lowest one) = 156 meV per atom
1.0
-3.609 1.007 0.787
-0.266 -2.898 2.488
2.626 4.811 5.885
O Pm Re N
2 2 2 2
Cartesian
-2.773 0.030 1.212
-1.102 -1.922 2.063
-0.682 2.658 7.442
-0.568 0.262 1.718
-1.461 2.436 4.155
0.211 0.484 5.005
0.657 2.506 4.462
-1.906 0.414 4.698



Entry 13:
PmReNO | OQMD via LeMat-Bulk | PBE-GGA | relaxed; theoretical density = 10.0 Mg/m³; magnetic moment = 0.0 μB/f.u.; polymorph energy (0 for the lowest one) = 0 meV per atom
1.0
5.526 0.000 0.000
0.000 8.021 0.000
0.000 0.000 5.401
O Pm N Re
4 4 4 4
Cartesian
4.145 3.958 0.950
1.381 4.062 3.650
1.382 4.062 0.950
4.144 3.958 3.650
0.042 2.801 2.301
2.805 5.219 2.301
2.721 2.801 5.001
5.484 5.219 5.001
1.391 0.800 0.941
4.154 7.221 0.941
4.135 7.221 3.642
1.372 0.800 3.642
5.525 0.299 5.002
2.762 7.722 5.002
0.001 7.722 2.302
2.763 0.299 2.302



Entry 14:
PmReNO | OQMD via LeMat-Bulk | PBE-GGA | relaxed; theoretical density = 11.4 Mg/m³; magnetic moment = 0.1 μB/f.u.; polymorph energy (0 for the lowest one) = 899 meV per atom
1.0
3.281 -3.627 0.000
3.281 3.627 0.000
0.000 0.000 4.415
Re N Pm O
2 2 2 2
Cartesian
3.281 -1.814 2.205
3.281 1.814 2.210
3.281 -1.814 4.408
3.281 1.814 0.007
1.640 0.000 0.000
4.921 0.000 0.000
1.640 0.000 2.208
4.921 0.000 2.208



Entry 15:
PmScNO | OQMD via LeMat-Bulk | PBE-GGA | relaxed; theoretical density = 5.9 Mg/m³; magnetic moment = 0.0 μB/f.u.; polymorph energy (0 for the lowest one) = 5 meV per atom
1.0
-6.213 -0.603 -1.618
2.089 -3.786 -6.611
-0.203 -4.223 2.354
N Pm Sc O
4 4 4 4
Cartesian
-5.455 -1.163 -2.059
-3.543 -3.079 -0.357
-0.703 -3.845 -6.458
1.209 -5.761 -4.757
-2.184 -2.947 -4.970
0.370 -1.645 -2.413
-4.616 -5.285 -4.399
-2.062 -3.983 -1.843
-3.429 -0.996 -1.582
1.294 -3.624 -5.887
-5.540 -3.302 -0.928
-0.817 -5.930 -5.233
-1.911 -1.769 -2.830
0.116 -3.673 -1.099
-2.335 -5.162 -3.981
-4.362 -3.258 -5.713



Entry 16:
PmScNO | OQMD via LeMat-Bulk | PBE-GGA | relaxed; theoretical density = 5.6 Mg/m³; magnetic moment = 0.1 μB/f.u.; polymorph energy (0 for the lowest one) = 287 meV per atom
1.0
3.979 0.000 0.000
0.000 3.979 0.000
0.000 0.000 8.273
O N Pm Sc
2 2 2 2
Cartesian
0.000 0.000 0.000
1.990 1.990 0.000
1.990 0.000 5.114
0.000 1.990 3.160
1.990 0.000 1.137
0.000 1.990 7.137
0.000 0.000 4.137
1.990 1.990 4.137



Entry 17:
PmScNO | OQMD via LeMat-Bulk | PBE-GGA | relaxed; theoretical density = 6.3 Mg/m³; magnetic moment = 0.0 μB/f.u.; polymorph energy (0 for the lowest one) = 122 meV per atom
1.0
-2.916 -0.445 -3.607
-3.197 -1.885 2.818
-1.989 4.877 1.006
N Pm Sc O
2 2 2 2
Cartesian
-2.378 0.969 1.803
-2.667 2.743 -1.192
-4.051 1.273 0.108
-0.994 2.439 0.503
-1.654 -0.806 1.437
-3.391 4.518 -0.826
0.000 0.000 0.000
-3.057 -1.165 -0.395



Entry 18:
PmScNO | OQMD via LeMat-Bulk | PBE-GGA | relaxed; theoretical density = 5.7 Mg/m³; magnetic moment = 0.0 μB/f.u.; polymorph energy (0 for the lowest one) = 64 meV per atom
1.0
-1.463 -5.017 3.891
6.838 0.972 3.823
-2.212 3.102 3.167
O Sc Pm N
4 4 4 4
Cartesian
-0.055 -1.764 2.111
4.083 -0.393 7.533
4.739 -3.487 7.146
-0.711 1.330 2.498
-0.999 -0.266 3.816
5.052 -1.925 5.792
0.592 -0.155 0.943
3.461 -2.037 8.665
-0.074 -2.614 6.769
4.123 0.429 2.846
2.485 0.155 5.845
1.564 -2.340 3.770
3.725 -1.383 4.336
0.899 -4.189 5.111
0.327 -0.807 5.274
3.153 1.999 4.499



Entry 19:
PmScNO | OQMD via LeMat-Bulk | PBE-GGA | relaxed; theoretical density = 5.8 Mg/m³; magnetic moment = 0.0 μB/f.u.; polymorph energy (0 for the lowest one) = 0 meV per atom
1.0
-3.236 2.155 -0.213
-1.597 -2.750 -3.559
-3.004 -4.068 4.491
N O Pm Sc
2 2 2 2
Cartesian
-2.563 -4.021 -1.746
-2.638 -3.830 1.340
-5.498 -4.728 0.112
-2.942 -0.972 -0.737
-3.619 -2.184 -2.696
-4.820 -3.516 2.072
-3.477 -5.260 -0.384
-1.727 -2.596 -0.028



Entry 20:
PmScNO | OQMD via LeMat-Bulk | PBE-GGA | relaxed; theoretical density = 5.7 Mg/m³; magnetic moment = 0.0 μB/f.u.; polymorph energy (0 for the lowest one) = 38 meV per atom
1.0
4.022 0.000 0.000
0.000 4.996 0.000
0.000 0.000 6.342
O N Pm Sc
2 2 2 2
Cartesian
2.011 2.022 0.881
2.011 4.520 5.461
0.000 2.230 4.502
0.000 4.729 1.840
0.000 2.213 2.040
0.000 4.711 4.302
2.011 4.796 1.173
2.011 2.297 5.169



Number 1: E_tot -7.691 eV/atom. Number 2: E_tot -7.854 eV/atom. Number 3: E_tot -8.016 eV/atom. Number 4: E_tot -7.917 eV/atom. Number 5: E_tot -7.843 eV/atom. Number 6: E_tot -7.754 eV/atom. Number 7: E_tot -7.748 eV/atom. Number 8: E_tot -7.788 eV/atom. Number 9: E_tot -8.602 eV/atom. Number 10: E_tot -8.722 eV/atom. Number 11: E_tot -8.836 eV/atom. Number 12: E_tot -8.856 eV/atom. Number 13: E_tot -9.012 eV/atom. Number 14: E_tot -8.113 eV/atom. Number 15: E_tot -8.271 eV/atom. Number 16: E_tot -7.989 eV/atom. Number 17: E_tot -8.154 eV/atom. Number 18: E_tot -8.212 eV/atom. Number 19: E_tot -8.276 eV/atom. Number 20: E_tot -8.238 eV/atom.